[1]
A relaxed Si2NiTe crystal, computed with PBE-GGA.

As for the total energy: -4.6015 eV per atom. The calculation puts the formation energy without anion corrections at 0.34 eV per atom.

The space group is C2/m (No. 12) and the conventional cell measures 11.497, 2.831 and 4.624 Å, with angles of 90.00, 113.62 and 90.00 degrees. The inequivalent atoms are Si at (0.199, 0.000, 0.204), Ni at (0.000, 0.500, 0.000) and Te at (0.000, 0.000, 0.500).


[2]
A relaxed Si2NiTe crystal, computed with PBE-GGA.

As for the total energy: -4.6351 eV per atom. The calculation puts the formation energy without anion corrections at 0.31 eV per atom.

The space group is Imm2 (No. 44) and the conventional cell measures 3.882, 6.109 and 7.810 Å, with angles of 90.00, 90.00 and 90.00 degrees. The inequivalent atoms are Si at (0.000, 0.000, 0.000), Si at (0.000, 0.500, 0.321), Ni at (0.000, 0.000, 0.683) and Te at (0.000, 0.500, 0.969).


[3]
A relaxed Si2NiTe2 crystal, computed with PBE-GGA.

As for the total energy: -4.2109 eV per atom. The calculation puts the formation energy without anion corrections at 0.37 eV per atom. As for the energy above the most stable polymorph in this dataset: 0.000 eV/atom.

The space group is I4/mmm (No. 139) and the conventional cell measures 3.445, 3.445 and 17.003 Å, with angles of 90.00, 90.00 and 90.00 degrees. The inequivalent atoms are Si at (0.000, 0.500, 0.250), Ni at (0.000, 0.000, 0.000) and Te at (0.000, 0.000, 0.410).


[4]
A relaxed SiNiTe3 crystal, computed with PBE-GGA.

As for the total energy: -3.5912 eV per atom. The calculation puts the formation energy without anion corrections at 0.53 eV per atom. As for the energy above the most stable polymorph in this dataset: 0.000 eV/atom.

The space group is Pm-3m (No. 221) and the conventional cell measures 5.006, 5.006 and 5.006 Å, with angles of 90.00, 90.00 and 90.00 degrees. The inequivalent atoms are Si at (0.000, 0.000, 0.000), Ni at (0.500, 0.500, 0.500) and Te at (0.000, 0.500, 0.500).